[1]
An optimized crystal structure of TeHPdRh2. Source: Alexandria via LeMat-Bulk, functional GGA-PBE.

```
5
Lattice="4.089 0.000 0.000 0.000 4.089 0.000 0.000 0.000 4.043" Properties=species:S:1:pos:R:3 pbc="T T T"
Te 0.000 0.000 0.000
H 2.045 2.045 2.021
Pd 2.045 2.045 0.000
Rh 0.000 2.045 2.021
Rh 2.045 0.000 2.021
```

N(E_F) in states/eV per atom: 1.19
Final energy in eV/atom: -5.31
ρ in g/cm³: 10.83
Magnetic moment in μB/f.u.: 0.0


[2]
An optimized crystal structure of ThH8Pd4Rh. Source: Alexandria via LeMat-Bulk, functional GGA-PBE.

```
14
Lattice="2.871 1.657 4.819 -2.871 1.657 4.819 0.000 -3.315 4.819" Properties=species:S:1:pos:R:3 pbc="T T T"
Th 0.000 0.000 0.000
H -1.322 -0.763 6.545
H 0.000 0.000 2.195
H 0.000 -1.145 4.128
H -0.992 0.573 4.128
H 0.992 0.573 4.128
H 1.322 -0.763 6.545
H 0.000 1.526 6.545
H 0.000 0.000 8.853
Pd 0.000 -1.619 7.784
Pd -1.402 0.809 7.784
Pd 0.000 0.000 10.781
Pd 1.402 0.809 7.784
Rh 0.000 0.000 5.405
```

N(E_F) in states/eV per atom: 0.33
Final energy in eV/atom: -4.64
ρ in g/cm³: 9.28
Magnetic moment in μB/f.u.: 0.0


[3]
An optimized crystal structure of ThH8PdRh4. Source: Alexandria via LeMat-Bulk, functional GGA-PBE.

```
14
Lattice="2.842 1.641 4.683 -2.842 1.641 4.683 0.000 -3.282 4.683" Properties=species:S:1:pos:R:3 pbc="T T T"
Th 0.000 0.000 0.000
H -1.513 -0.873 6.709
H 0.000 -1.181 3.865
H -1.022 0.590 3.865
H 0.000 0.000 2.247
H 1.022 0.590 3.865
H 0.000 0.000 8.645
H 1.513 -0.873 6.709
H 0.000 1.747 6.709
Pd 0.000 0.000 5.334
Rh 0.000 -1.616 7.602
Rh -1.400 0.808 7.602
Rh 0.000 0.000 10.434
Rh 1.400 0.808 7.602
```

N(E_F) in states/eV per atom: 0.30
Final energy in eV/atom: -5.13
ρ in g/cm³: 9.60
Magnetic moment in μB/f.u.: 0.0


[4]
An optimized crystal structure of Ti2HPdRh. Source: Alexandria via LeMat-Bulk, functional GGA-PBE.

```
5
Lattice="4.070 0.000 0.000 0.000 4.070 0.000 0.000 0.000 3.807" Properties=species:S:1:pos:R:3 pbc="T T T"
Ti 0.000 2.035 0.000
Ti 2.035 0.000 0.000
H 0.000 0.000 0.000
Pd 2.035 2.035 1.903
Rh 0.000 0.000 1.903
```

N(E_F) in states/eV per atom: 0.92
Excess energy over the best structure of this formula in the dataset in eV per atom: 0.000
Final energy in eV/atom: -6.87
ρ in g/cm³: 8.06
Magnetic moment in μB/f.u.: 0.7


[5]
An optimized crystal structure of TiHPdRh2. Source: Alexandria via LeMat-Bulk, functional GGA-PBE.

```
5
Lattice="3.902 0.000 0.000 0.000 3.902 0.000 0.000 0.000 3.982" Properties=species:S:1:pos:R:3 pbc="T T T"
Ti 0.000 0.000 0.000
H 0.000 0.000 1.991
Pd 1.951 1.951 0.000
Rh 0.000 1.951 1.991
Rh 1.951 0.000 1.991
```

N(E_F) in states/eV per atom: 0.70
Excess energy over the best structure of this formula in the dataset in eV per atom: 0.021
Final energy in eV/atom: -6.71
ρ in g/cm³: 9.89
Magnetic moment in μB/f.u.: 0.0


[6]
An optimized crystal structure of TiHPd2Rh. Source: Alexandria via LeMat-Bulk, functional GGA-PBE.

```
5
Lattice="3.906 0.000 0.000 0.000 3.906 0.000 0.000 0.000 4.067" Properties=species:S:1:pos:R:3 pbc="T T T"
Ti 0.000 0.000 0.000
H 1.953 1.953 2.033
Pd 0.000 1.953 2.033
Pd 1.953 0.000 2.033
Rh 1.953 1.953 0.000
```

N(E_F) in states/eV per atom: 0.18
Excess energy over the best structure of this formula in the dataset in eV per atom: 0.000
Final energy in eV/atom: -6.28
ρ in g/cm³: 9.76
Magnetic moment in μB/f.u.: 0.0


[7]
An optimized crystal structure of TiHPdRh2. Source: Alexandria via LeMat-Bulk, functional GGA-PBE.

```
5
Lattice="3.958 0.000 0.000 0.000 3.958 0.000 0.000 0.000 3.882" Properties=species:S:1:pos:R:3 pbc="T T T"
Ti 0.000 0.000 0.000
H 1.979 1.979 1.941
Pd 1.979 1.979 0.000
Rh 0.000 1.979 1.941
Rh 1.979 0.000 1.941
```

N(E_F) in states/eV per atom: 0.71
Excess energy over the best structure of this formula in the dataset in eV per atom: 0.000
Final energy in eV/atom: -6.73
ρ in g/cm³: 9.86
Magnetic moment in μB/f.u.: 0.0


[8]
An optimized crystal structure of TiHPd2Rh. Source: Alexandria via LeMat-Bulk, functional GGA-PBE.

```
5
Lattice="3.849 0.000 0.000 0.000 3.849 0.000 0.000 0.000 4.194" Properties=species:S:1:pos:R:3 pbc="T T T"
Ti 0.000 0.000 0.000
H 0.000 0.000 2.097
Pd 0.000 1.925 2.097
Pd 1.925 0.000 2.097
Rh 1.925 1.925 0.000
```

N(E_F) in states/eV per atom: 0.32
Excess energy over the best structure of this formula in the dataset in eV per atom: 0.058
Final energy in eV/atom: -6.22
ρ in g/cm³: 9.74
Magnetic moment in μB/f.u.: 0.0